(1)
Compound: RbInPd
Source: OQMD
Functional: PBE
Structure: relaxed

Cell lengths 5.366, 5.366, 5.366 Å; angles 60.00, 60.00, 60.00 degrees
Atoms (fractional coordinates):
Pd 0.750 0.750 0.750
Rb 0.000 0.000 0.000
In 0.250 0.250 0.250

space-group type = No. 216

=====

(2)
Compound: RbInPd
Source: OQMD
Functional: PBE
Structure: relaxed

Cell lengths 5.110, 5.110, 5.110 Å; angles 60.00, 60.00, 60.00 degrees
Atoms (fractional coordinates):
Pd 0.000 0.000 0.000
In 0.250 0.250 0.250
Rb 0.750 0.750 0.750

space-group type = No. 216

=====

(2) (556 meV per atom below the next structure)

=====

(1)
Compound: TlInPdS3
Source: OQMD
Functional: PBE
Structure: relaxed

Cell lengths 14.085, 3.888, 10.869 Å; angles 90.00, 90.00, 90.00 degrees
Atoms (fractional coordinates):
Pd 0.501 0.750 0.414
Pd 0.999 0.250 0.914
Pd 0.001 0.750 0.086
Pd 0.499 0.250 0.586
S 0.906 0.750 0.420
S 0.094 0.250 0.580
S 0.125 0.750 0.257
S 0.875 0.250 0.743
S 0.594 0.250 0.920
S 0.414 0.250 0.383
S 0.406 0.750 0.080
S 0.586 0.750 0.617
S 0.914 0.250 0.117
S 0.375 0.250 0.757
S 0.625 0.750 0.243
S 0.086 0.750 0.883
Tl 0.233 0.250 0.047
Tl 0.733 0.250 0.453
Tl 0.267 0.750 0.547
Tl 0.767 0.750 0.953
In 0.029 0.250 0.359
In 0.971 0.750 0.641
In 0.529 0.250 0.141
In 0.471 0.750 0.859

space-group type = No. 62

=====

(2)
Compound: TlInPdS3
Source: OQMD
Functional: PBE
Structure: relaxed

Cell lengths 7.409, 3.696, 11.484 Å; angles 90.00, 108.46, 90.00 degrees
Atoms (fractional coordinates):
S 0.816 0.250 0.876
S 0.246 0.250 0.806
S 0.201 0.250 0.476
S 0.184 0.750 0.124
S 0.799 0.750 0.524
S 0.754 0.750 0.194
In 0.922 0.250 0.112
In 0.078 0.750 0.888
Tl 0.507 0.250 0.308
Tl 0.493 0.750 0.692
Pd 0.010 0.750 0.395
Pd 0.990 0.250 0.605

space-group type = No. 11

=====

(2) (23 meV per atom below the next structure)